# 1
# K2CeTaO6 (PBE, relaxed)
# - magnetic moment (μB/cell) = 4.057
# - DFT total energy (eV per atom) = -7.51
# - raw formation energy (meV/atom) = -2533.0
data_K2CeTaO6
_chemical_formula_sum 'K8 Ce4 Ta4 O24'
_cell_length_a 8.526
_cell_length_b 8.526
_cell_length_c 8.526
_cell_angle_alpha 90.00
_cell_angle_beta 90.00
_cell_angle_gamma 90.00
_symmetry_space_group_name_H-M 'F m -3 m'
_symmetry_Int_Tables_number 225
_symmetry_space_group_name_Hall '-F 4 2 3'
loop_
_atom_site_label
_atom_site_type_symbol
_atom_site_fract_x
_atom_site_fract_y
_atom_site_fract_z
K1 K 0.250 0.250 0.250
Ce1 Ce 0.000 0.000 0.000
Ta1 Ta 0.000 0.000 0.500
O1 O 0.000 0.000 0.265

# 2
# KCeTa2O7 (PBE, relaxed)
# - magnetic moment (μB/cell) = 0.925
# - DFT total energy (eV per atom) = -8.82
# - raw formation energy (meV/atom) = -2875.0
data_KCeTa2O7
_chemical_formula_sum 'K1 Ce1 Ta2 O7'
_cell_length_a 3.894
_cell_length_b 3.894
_cell_length_c 11.223
_cell_angle_alpha 90.00
_cell_angle_beta 90.00
_cell_angle_gamma 90.00
_symmetry_space_group_name_H-M 'P 4/m m m'
_symmetry_Int_Tables_number 123
_symmetry_space_group_name_Hall '-P 4 2'
loop_
_atom_site_label
_atom_site_type_symbol
_atom_site_fract_x
_atom_site_fract_y
_atom_site_fract_z
K1 K 0.000 0.000 0.000
Ce1 Ce 0.000 0.000 0.500
Ta1 Ta 0.500 0.500 0.297
O1 O 0.000 0.500 0.337
O2 O 0.500 0.500 0.136
O3 O 0.500 0.500 0.500

# 3
# K2TbCeO4 (PBE, relaxed)
# - magnetic moment (μB/cell) = 1.006
# - DFT total energy (eV per atom) = -6.73
# - raw formation energy (meV/atom) = -2659.9
data_K2TbCeO4
_chemical_formula_sum 'K2 Tb1 Ce1 O4'
_cell_length_a 6.202
_cell_length_b 3.577
_cell_length_c 6.609
_cell_angle_alpha 90.00
_cell_angle_beta 108.16
_cell_angle_gamma 90.00
_symmetry_space_group_name_H-M 'P 1 2/m 1'
_symmetry_Int_Tables_number 10
loop_
_symmetry_equiv_pos_as_xyz
'x,y,z'
'-x,-y,-z'
'-x,y,-z'
'x,-y,z'
loop_
_atom_site_label
_atom_site_type_symbol
_atom_site_fract_x
_atom_site_fract_y
_atom_site_fract_z
K1 K 0.000 0.000 0.000
K2 K 0.500 0.500 0.000
Tb1 Tb 0.000 0.500 0.500
Ce1 Ce 0.500 0.000 0.500
O1 O 0.223 0.000 0.687
O2 O 0.263 0.500 0.311

# 4
# K2CeTcO6 (PBE, relaxed)
# - magnetic moment (μB/cell) = 0.315
# - DFT total energy (eV per atom) = -6.95
# - raw formation energy (meV/atom) = -2121.3
data_K2CeTcO6
_chemical_formula_sum 'K2 Ce1 Tc1 O6'
_cell_length_a 5.868
_cell_length_b 5.868
_cell_length_c 4.450
_cell_angle_alpha 90.00
_cell_angle_beta 90.00
_cell_angle_gamma 90.00
_symmetry_space_group_name_H-M 'P 4 m m'
_symmetry_Int_Tables_number 99
loop_
_symmetry_equiv_pos_as_xyz
'x,y,z'
'-y,x,z'
'-x,-y,z'
'y,-x,z'
'-x,y,z'
'y,x,z'
'x,-y,z'
'-y,-x,z'
loop_
_atom_site_label
_atom_site_type_symbol
_atom_site_fract_x
_atom_site_fract_y
_atom_site_fract_z
K1 K 0.000 0.500 0.000
Ce1 Ce 0.000 0.000 0.530
Tc1 Tc 0.500 0.500 0.444
O1 O 0.000 0.000 0.032
O2 O 0.276 0.276 0.540
O3 O 0.500 0.500 0.055

# 5
# K3CeTe2O9 (PBE, relaxed)
# - magnetic moment (μB/cell) = 0.000
# - DFT total energy (eV per atom) = -5.77
# - raw formation energy (meV/atom) = -1765.6
data_K3CeTe2O9
_chemical_formula_sum 'K3 Ce1 Te2 O9'
_cell_length_a 5.9243
_cell_length_b 5.9243
_cell_length_c 7.2281
_cell_angle_alpha 90.00
_cell_angle_beta 90.00
_cell_angle_gamma 120.00
_symmetry_space_group_name_H-M 'P -3 m 1'
_symmetry_Int_Tables_number 164
_symmetry_space_group_name_Hall '-P 3 2"'
loop_
_atom_site_label
_atom_site_type_symbol
_atom_site_fract_x
_atom_site_fract_y
_atom_site_fract_z
K1 K 0.0000 0.0000 0.0000
K2 K 0.3333 0.6667 0.6724
Ce1 Ce 0.0000 0.0000 0.5000
Te1 Te 0.3333 0.6667 0.1634
O1 O 0.0000 0.5000 0.0000
O2 O 0.1776 0.3553 0.3201

# 6
# K2CeTeO2 (PBE, relaxed)
# - magnetic moment (μB/cell) = 0.122
# - DFT total energy (eV per atom) = -5.60
# - raw formation energy (meV/atom) = -2065.2
data_K2CeTeO2
_chemical_formula_sum 'K2 Ce1 Te1 O2'
_cell_length_a 4.495
_cell_length_b 4.495
_cell_length_c 6.801
_cell_angle_alpha 90.00
_cell_angle_beta 90.00
_cell_angle_gamma 90.00
_symmetry_space_group_name_H-M 'P 4/m m m'
_symmetry_Int_Tables_number 123
_symmetry_space_group_name_Hall '-P 4 2'
loop_
_atom_site_label
_atom_site_type_symbol
_atom_site_fract_x
_atom_site_fract_y
_atom_site_fract_z
K1 K 0.000 0.000 0.235
Ce1 Ce 0.500 0.500 0.500
Te1 Te 0.500 0.500 0.000
O1 O 0.000 0.500 0.500

# 7
# KCeTiO4 (PBE, relaxed)
# - magnetic moment (μB/cell) = 2.005
# - DFT total energy (eV per atom) = -7.81
# - raw formation energy (meV/atom) = -2843.5
data_KCeTiO4
_chemical_formula_sum 'K2 Ce2 Ti2 O8'
_cell_length_a 6.137
_cell_length_b 6.109
_cell_length_c 7.488
_cell_angle_alpha 90.00
_cell_angle_beta 105.17
_cell_angle_gamma 90.00
_symmetry_space_group_name_H-M 'P 1 21/m 1'
_symmetry_Int_Tables_number 11
loop_
_symmetry_equiv_pos_as_xyz
'x,y,z'
'-x,-y,-z'
'-x,y+1/2,-z'
'x,-y+1/2,z'
loop_
_atom_site_label
_atom_site_type_symbol
_atom_site_fract_x
_atom_site_fract_y
_atom_site_fract_z
K1 K 0.175 0.250 0.415
Ce1 Ce 0.303 0.250 0.950
Ti1 Ti 0.229 0.750 0.165
O1 O 0.025 0.750 0.305
O2 O 0.033 0.750 0.940
O3 O 0.432 0.520 0.176

# 8
# K4Ce3TiO8 (PBE, relaxed)
# - magnetic moment (μB/cell) = 12.032
# - DFT total energy (eV per atom) = -6.83
# - raw formation energy (meV/atom) = -2470.2
data_K4Ce3TiO8
_chemical_formula_sum 'K12 Ce9 Ti3 O24'
_cell_length_a 7.0271
_cell_length_b 7.0271
_cell_length_c 18.7865
_cell_angle_alpha 90.00
_cell_angle_beta 90.00
_cell_angle_gamma 120.00
_symmetry_space_group_name_H-M 'R -3 m'
_symmetry_Int_Tables_number 166
_symmetry_space_group_name_Hall '-R 3 2"'
loop_
_atom_site_label
_atom_site_type_symbol
_atom_site_fract_x
_atom_site_fract_y
_atom_site_fract_z
K1 K 0.0000 0.0000 0.0000
K2 K 0.0000 0.5000 0.0000
Ce1 Ce 0.0000 0.5000 0.5000
Ti1 Ti 0.0000 0.0000 0.5000
O1 O 0.0000 0.0000 0.2319
O2 O 0.0162 0.5081 0.2282

# 9
# K3Ce3TiO8 (PBE, relaxed)
# - magnetic moment (μB/cell) = 9.045
# - DFT total energy (eV per atom) = -7.27
# - raw formation energy (meV/atom) = -2688.5
data_K3Ce3TiO8
_chemical_formula_sum 'K9 Ce9 Ti3 O24'
_cell_length_a 6.9667
_cell_length_b 6.9667
_cell_length_c 18.9480
_cell_angle_alpha 90.00
_cell_angle_beta 90.00
_cell_angle_gamma 120.00
_symmetry_space_group_name_H-M 'R -3 m'
_symmetry_Int_Tables_number 166
_symmetry_space_group_name_Hall '-R 3 2"'
loop_
_atom_site_label
_atom_site_type_symbol
_atom_site_fract_x
_atom_site_fract_y
_atom_site_fract_z
K1 K 0.0000 0.5000 0.0000
Ce1 Ce 0.0000 0.5000 0.5000
Ti1 Ti 0.0000 0.0000 0.5000
O1 O 0.0000 0.0000 0.2318
O2 O 0.0339 0.5169 0.2233

# 10
# K2CeTlO4 (PBE, relaxed)
# - magnetic moment (μB/cell) = 0.000
# - DFT total energy (eV per atom) = -5.70
# - raw formation energy (meV/atom) = -1910.3
data_K2CeTlO4
_chemical_formula_sum 'K2 Ce1 Tl1 O4'
_cell_length_a 6.364
_cell_length_b 3.620
_cell_length_c 6.673
_cell_angle_alpha 90.00
_cell_angle_beta 110.43
_cell_angle_gamma 90.00
_symmetry_space_group_name_H-M 'P 1 2/m 1'
_symmetry_Int_Tables_number 10
loop_
_symmetry_equiv_pos_as_xyz
'x,y,z'
'-x,-y,-z'
'-x,y,-z'
'x,-y,z'
loop_
_atom_site_label
_atom_site_type_symbol
_atom_site_fract_x
_atom_site_fract_y
_atom_site_fract_z
K1 K 0.000 0.000 0.000
K2 K 0.500 0.500 0.000
Ce1 Ce 0.000 0.500 0.500
Tl1 Tl 0.500 0.000 0.500
O1 O 0.195 0.000 0.698
O2 O 0.238 0.500 0.310

# 11
# KCeTlO4 (PBE, relaxed)
# - magnetic moment (μB/cell) = 0.000
# - DFT total energy (eV per atom) = -6.15
# - raw formation energy (meV/atom) = -1971.1
data_KCeTlO4
_chemical_formula_sum 'K4 Ce4 Tl4 O16'
_cell_length_a 6.911
_cell_length_b 7.160
_cell_length_c 10.474
_cell_angle_alpha 90.00
_cell_angle_beta 90.00
_cell_angle_gamma 90.00
_symmetry_space_group_name_H-M 'I m m a'
_symmetry_Int_Tables_number 74
_symmetry_space_group_name_Hall '-I 2b 2'
loop_
_atom_site_label
_atom_site_type_symbol
_atom_site_fract_x
_atom_site_fract_y
_atom_site_fract_z
K1 K 0.000 0.250 0.133
Ce1 Ce 0.000 0.000 0.500
Tl1 Tl 0.250 0.250 0.750
O1 O 0.000 0.046 0.726
O2 O 0.196 0.250 0.507

# 12
# K3Ce3TmO8 (PBE, relaxed)
# - magnetic moment (μB/cell) = 6.042
# - DFT total energy (eV per atom) = -7.19
# - raw formation energy (meV/atom) = -2837.1
data_K3Ce3TmO8
_chemical_formula_sum 'K9 Ce9 Tm3 O24'
_cell_length_a 7.1364
_cell_length_b 7.1364
_cell_length_c 18.9644
_cell_angle_alpha 90.00
_cell_angle_beta 90.00
_cell_angle_gamma 120.00
_symmetry_space_group_name_H-M 'R -3 m'
_symmetry_Int_Tables_number 166
_symmetry_space_group_name_Hall '-R 3 2"'
loop_
_atom_site_label
_atom_site_type_symbol
_atom_site_fract_x
_atom_site_fract_y
_atom_site_fract_z
K1 K 0.0000 0.5000 0.0000
Ce1 Ce 0.0000 0.5000 0.5000
Tm1 Tm 0.0000 0.0000 0.5000
O1 O 0.0000 0.0000 0.2295
O2 O 0.0112 0.5056 0.2244

Q: DFT total energy of number 11 (KCeTlO4)?
A: -6.15 eV per atom